First-principles (PBE) data for a relaxed Cr2InW crystal, as listed in Alexandria via LeMat-Bulk.

Lattice parameters (Å, degrees): 2.755 2.755 8.653 90.00 90.00 111.52
Positions (direct):
Cr1 0.000 0.000 0.000
Cr2 0.500 0.500 0.204
In1 0.500 0.500 0.733
W1 0.000 0.000 0.443

Calculated values
Its calculated formation energy is 0.456 eV/atom. The calculated total energy is -33.1 eV for the cell shown.